Entry 1:
Material: Rb2HfBr5
Method: DFT, PBE
State: optimized geometry

The uncorrected formation energy comes out at -1.416 eV per atom. The total energy is -63.164 eV/cell.

The space group is I4mm (No. 107) and the conventional cell measures 8.319, 8.319 and 9.403 Å, with angles of 90.00, 90.00 and 90.00 degrees. The asymmetric unit holds Rb at (0.000, 0.500, 0.000), Hf at (0.000, 0.000, 0.183), Br at (0.000, 0.000, 0.920) and Br at (0.219, 0.219, 0.252).

=====

Entry 2:
Material: RbHf3Br
Method: DFT, PBE
State: optimized geometry

For the energy above the most stable polymorph in this dataset, the calculation gives 1.374 eV/atom. The uncorrected formation energy comes out at 2.405 eV per atom. The total energy is -20.474 eV/cell.

The space group is Pm-3m (No. 221) and the conventional cell measures 5.219, 5.219 and 5.219 Å, with angles of 90.00, 90.00 and 90.00 degrees. The asymmetric unit holds Rb at (0.000, 0.000, 0.000), Hf at (0.000, 0.000, 0.500) and Br at (0.500, 0.500, 0.500).

=====

Entry 3:
Material: RbHfBr5
Method: DFT, PBE
State: optimized geometry

The uncorrected formation energy comes out at -1.486 eV per atom. The total energy is -118.740 eV/cell.

The space group is C2/c (No. 15) and the conventional cell measures 14.970, 7.917 and 10.576 Å, with angles of 90.00, 111.32 and 90.00 degrees. The asymmetric unit holds Rb at (0.000, 0.021, 0.250), Hf at (0.000, 0.500, 0.000), Br at (0.000, 0.418, 0.750), Br at (0.128, 0.269, 0.533) and Br at (0.133, 0.277, 0.102).

=====

Entry 4:
Material: RbHf2Br8
Method: DFT, PBE
State: optimized geometry

For the energy above the most stable polymorph in this dataset, the calculation gives 0.018 eV/atom. The uncorrected formation energy comes out at -1.274 eV per atom. The total energy is -48.276 eV/cell.

The space group is P-3 (No. 147) and the conventional cell measures 9.1660, 9.1660 and 7.3317 Å, with angles of 90.00, 90.00 and 120.00 degrees. The asymmetric unit holds Rb at (0.0000, 0.0000, 0.0000), Hf at (0.3333, 0.6667, 0.3778), Br at (0.1826, 0.3681, 0.2679) and Br at (0.3333, 0.6667, 0.7156).

=====

Magnetic moment (μB/f.u.)
1.007 0.000 0.000 1.021